(1)
Compound: PrSc4Zn5
Source: the Alexandria database
Functional: PBE-GGA
Structure: optimized geometry

Structure (extended XYZ):
```
10
Lattice="-0.379 2.913 -1.719 -0.317 -1.753 -2.901 -17.112 -0.827 2.371" Properties=species:S:1:pos:R:3 pbc="T T T"
Zn -8.904 0.167 -1.125
Zn -2.470 0.478 -2.016
Zn -5.632 0.325 -1.578
Zn -12.176 0.009 -0.671
Zn -15.338 -0.144 -0.233
Sc -6.932 -0.335 0.960
Sc -13.447 -0.650 1.863
Sc -3.664 -0.177 0.508
Sc -10.179 -0.492 1.410
Pr 0.000 0.000 0.000
```

## Properties
Calculated volume: 20.04 Å³ per atom
Raw total energy: -3.991 eV/atom



(2)
Compound: YPdI2
Source: the Alexandria database
Functional: PBE-GGA
Structure: optimized geometry

Structure (extended XYZ):
```
4
Lattice="-3.515 1.234 1.454 -3.348 -0.568 -2.112 -3.484 -8.037 3.900" Properties=species:S:1:pos:R:3 pbc="T T T"
I -7.197 -1.640 0.493
I -3.150 -5.730 2.750
Y -5.173 -3.685 1.621
Pd 0.000 0.000 0.000
```

## Properties
Energy above the most stable polymorph in this dataset: 0.00 eV/f.u.
Calculated volume: 32.22 Å³ per atom
Raw total energy: -4.190 eV/atom



(3)
Compound: Ac2MnSb3Pt4
Source: the Alexandria database
Functional: PBE-GGA
Structure: optimized geometry

Structure (extended XYZ):
```
10
Lattice="-0.098 -3.200 -3.361 4.456 -1.004 0.827 -3.003 -7.427 7.161" Properties=species:S:1:pos:R:3 pbc="T T T"
Ac -0.783 -3.415 0.069
Ac -0.041 -6.115 5.824
Pt 1.096 -3.302 3.113
Pt -1.920 -6.227 2.781
Pt 0.000 0.000 0.000
Pt 2.179 -2.102 -1.267
Mn 0.677 -5.816 2.313
Sb 1.835 -1.474 1.350
Sb -1.501 -3.714 3.580
Sb -2.659 -8.056 4.544
```

## Properties
Calculated volume: 23.15 Å³ per atom
Raw total energy: -6.223 eV/atom



(4)
Compound: Ac12PmNd5
Source: the Alexandria database
Functional: PBE-GGA
Structure: optimized geometry

Structure (extended XYZ):
```
18
Lattice="11.883 0.000 -0.009 5.942 10.151 -0.005 0.005 0.000 6.273" Properties=species:S:1:pos:R:3 pbc="T T T"
Ac 9.958 7.282 3.127
Ac 1.929 2.866 -0.002
Ac 9.955 2.866 -0.007
Ac 4.016 3.899 3.134
Ac 1.930 0.512 3.135
Ac 13.814 7.281 3.127
Ac 13.814 9.634 -0.011
Ac 9.959 0.512 3.128
Ac 9.958 9.635 6.265
Ac 7.874 6.256 6.265
Ac 7.872 3.899 3.130
Ac 4.014 6.256 -0.002
Nd 11.886 3.981 3.127
Nd 5.944 7.373 3.132
Nd 5.944 0.604 3.132
Nd 11.888 6.165 6.263
Nd 5.942 2.784 -0.005
Pm 5.947 9.554 6.268
```

## Properties
Calculated volume: 42.04 Å³ per atom
Raw total energy: -4.282 eV/atom